DFT (PBE-GGA) results for an optimized crystal structure of MnIrCl2.

a = 3.6654 Å, b = 4.9389 Å, c = 8.7689 Å
α = 90.00°, β = 90.00°, γ = 90.00°
Last column: nearest neighbours and their distance in Å.
Space group Cmm2 (No. 35)
Unique sites:
Mn  0.0000  0.0000  0.0000 [2 per cell]  2 Cl 2.44, 2 Ir 2.50
Ir  0.0000  0.5000  0.1941 [2 per cell]  2 Mn 2.50, 2 Cl 2.53
Cl  0.0000  0.0000  0.3926 [2 per cell]  2 Ir 2.53
Cl  0.0000  0.5000  0.8167 [2 per cell]  2 Mn 2.44

Output
Formation energy from raw total energies ... 0.003 eV per atom
D(E_F) ... 2.40 states/eV/f.u.
E ... -21.710 eV/f.u.
Polymorph energy (0 for the lowest one) ... 0.087 eV/atom